VASP calculation (PBE-GGA) on a relaxed structure of RbScNb.

a b c (Å): 7.058 7.058 7.058
angles (deg): 90.00 90.00 90.00
Space group F-43m (No. 216)
Inequivalent atoms, fractional coordinates:
Rb 0.000 0.000 0.000
Sc 0.250 0.250 0.250
Nb 0.250 0.250 0.750

Summary:
crystal system = cubic
energy above the lowest structure with this stoichiometry = 542 meV per atom
magnetization = 5.70 μB/cell



VASP calculation (PBE-GGA) on a relaxed structure of Hf2Ag.

a b c (Å): 11.773 11.773 11.773
angles (deg): 90.00 90.00 90.00
Space group Fd-3m (No. 227, origin choice 2)
Inequivalent atoms, fractional coordinates:
Hf 0.000 0.000 0.000
Ag 0.125 0.125 0.125

Summary:
formation enthalpy at 0 K = 2.901 eV/atom
crystal system = cubic
magnetization = 2.59 μB/cell



VASP calculation (PBE-GGA) on a relaxed structure of Rb2ThF6.

a b c (Å): 6.6697 6.6697 3.7637
angles (deg): 90.00 90.00 120.00
Space group P-62m (No. 189)
Inequivalent atoms, fractional coordinates:
Rb 0.3333 0.6667 0.0000
Th 0.0000 0.0000 0.5000
F 0.0000 0.2262 0.0000
F 0.0000 0.6562 0.5000

Summary:
crystal system = hexagonal
magnetization = 0.00 μB/cell
energy = -5.85 eV per atom



VASP calculation (PBE-GGA) on a relaxed structure of BaFeHgSe3.

a b c (Å): 4.194 14.241 10.677
angles (deg): 90.00 90.00 90.00
Space group Cmcm (No. 63)
Inequivalent atoms, fractional coordinates:
Ba 0.000 0.230 0.250
Fe 0.000 0.000 0.000
Hg 0.000 0.478 0.750
Se 0.000 0.093 0.750
Se 0.000 0.378 0.543

Summary:
crystal system = orthorhombic
energy above the lowest structure with this stoichiometry = 93 meV per atom
magnetization = 15.98 μB/cell



VASP calculation (PBE-GGA) on a relaxed structure of AlMoPb.

a b c (Å): 6.483 6.483 6.483
angles (deg): 90.00 90.00 90.00
Space group F-43m (No. 216)
Inequivalent atoms, fractional coordinates:
Al 0.000 0.000 0.000
Mo 0.250 0.250 0.250
Pb 0.000 0.000 0.500

Summary:
crystal system = cubic
energy above the lowest structure with this stoichiometry = 0 meV per atom
magnetization = 5.37 μB/cell



VASP calculation (PBE-GGA) on a relaxed structure of Tb3AlS6.

a b c (Å): 10.728 13.339 6.466
angles (deg): 90.00 90.00 90.00
Space group Cmc2_1 (No. 36)
Inequivalent atoms, fractional coordinates:
Tb 0.000 0.099 0.000
Tb 0.184 0.400 0.913
Al 0.000 0.300 0.373
S 0.000 0.283 0.720
S 0.000 0.458 0.235
S 0.162 0.028 0.707
S 0.164 0.234 0.201

Summary:
crystal system = orthorhombic
magnetization = 0.01 μB/cell
energy = -6.09 eV per atom